1.
First-principles (PBEsol) data for a geometry-optimized Sr3LaC structure, as listed in Alexandria via LeMat-Bulk.

ΔH_f (0 K)   0.533 eV per atom

The structure in POSCAR format:
```
Sr3LaC
1.0
5.548 0.000 0.000
0.000 5.548 0.000
0.000 0.000 5.548
Sr La C
3 1 1
Cartesian
0.000 0.000 2.774
0.000 2.774 0.000
2.774 0.000 0.000
2.774 2.774 2.774
0.000 0.000 0.000
```

***

2.
First-principles (PBEsol) data for a geometry-optimized LiCd2Rh structure, as listed in Alexandria via LeMat-Bulk.

ΔH_f (0 K)   -0.177 eV per atom
Distance to the lowest polymorph of the same formula   0.079 eV/atom

The structure in POSCAR format:
```
LiCd2Rh
1.0
-1.629 2.215 4.472
1.629 -2.215 4.472
1.629 2.215 -4.472
Li Cd Rh
1 2 1
Cartesian
0.000 0.000 0.000
1.629 0.000 2.282
0.000 0.000 4.652
0.000 2.215 2.421
```

***

3.
First-principles (PBEsol) data for a geometry-optimized Zr2TlW structure, as listed in Alexandria via LeMat-Bulk.

ΔH_f (0 K)   0.191 eV per atom
Distance to the lowest polymorph of the same formula   0.130 eV/atom

The structure in POSCAR format:
```
Zr2TlW
1.0
-1.825 2.305 4.752
1.825 -2.305 4.752
1.825 2.305 -4.752
Zr Tl W
2 1 1
Cartesian
0.000 0.000 0.000
0.000 2.305 2.264
1.825 0.000 2.515
0.000 0.000 4.833
```

***

4.
First-principles (PBEsol) data for a geometry-optimized BaAlAs2Se structure, as listed in Alexandria via LeMat-Bulk.

Formation energy from raw total energies   -0.51 eV/atom

The structure in POSCAR format:
```
BaAlAs2Se
1.0
4.906 0.000 0.000
0.000 4.906 0.000
0.000 0.000 5.159
Ba Al As Se
1 1 2 1
Cartesian
0.000 0.000 0.000
2.453 2.453 2.579
0.000 2.453 2.579
2.453 0.000 2.579
2.453 2.453 0.000
```

***

5.
First-principles (PBEsol) data for a geometry-optimized LaZr2Tl2 structure, as listed in Alexandria via LeMat-Bulk.

ΔH_f (0 K)   -0.146 eV per atom

The structure in POSCAR format:
```
LaZr2Tl2
1.0
-2.171 2.171 6.940
2.171 -2.171 6.940
2.171 2.171 -6.940
La Zr Tl
1 2 2
Cartesian
0.000 0.000 0.000
2.171 0.000 3.470
0.000 2.171 3.470
0.000 0.000 5.511
0.000 0.000 8.369
```

***

6.
First-principles (PBEsol) data for a geometry-optimized ReHg2As structure, as listed in Alexandria via LeMat-Bulk.

ΔH_f (0 K)   0.309 eV per atom

The structure in POSCAR format:
```
ReHg2As
1.0
2.987 0.000 0.000
0.000 2.987 0.000
0.000 0.000 8.689
Re Hg As
1 2 1
Cartesian
0.000 0.000 0.000
0.000 0.000 4.205
1.494 1.494 6.688
1.494 1.494 1.454
```

***

7.
First-principles (PBEsol) data for a geometry-optimized LaTaW2 structure, as listed in Alexandria via LeMat-Bulk.

ΔH_f (0 K)   0.766 eV per atom

The structure in POSCAR format:
```
LaTaW2
1.0
4.440 -1.570 0.000
4.440 1.570 0.000
-0.573 0.000 5.760
La Ta W
1 1 2
Cartesian
0.000 0.000 0.000
4.153 0.000 2.880
1.640 0.000 4.012
6.667 0.000 1.748
```

***

8.
First-principles (PBEsol) data for a geometry-optimized LaY2Sc structure, as listed in Alexandria via LeMat-Bulk.

ΔH_f (0 K)   0.057 eV per atom
Distance to the lowest polymorph of the same formula   0.015 eV/atom

The structure in POSCAR format:
```
LaY2Sc
1.0
3.481 0.000 0.000
0.000 3.481 0.000
0.000 0.000 9.813
La Y Sc
1 2 1
Cartesian
0.000 0.000 0.000
1.741 1.741 2.623
1.741 1.741 7.190
0.000 0.000 4.906
```